(1)
A relaxed HoTaIrRh crystal. Source: Alexandria, functional PBE. Values from VASP.

SG   F-43m (216)
Formation enthalpy at 0 K   -49.2 kJ/mol of atoms
Volume   287 Å³ per cell

Structure (Quantum ESPRESSO input):
```
&SYSTEM
  ibrav = 0, nat = 16, ntyp = 4
/
ATOMIC_SPECIES
Ho 164.93 Ho.upf
Ta 180.95 Ta.upf
Ir 192.22 Ir.upf
Rh 102.91 Rh.upf
ATOMIC_POSITIONS angstrom
Ho 0.0000 0.0000 0.0000
Ho 0.0000 3.2973 3.2973
Ho 3.2973 0.0000 3.2973
Ho 3.2973 3.2973 0.0000
Ta 0.0000 0.0000 3.2973
Ta 0.0000 3.2973 0.0000
Ta 3.2973 0.0000 0.0000
Ta 3.2973 3.2973 3.2973
Ir 1.6486 1.6486 1.6486
Ir 1.6486 4.9459 4.9459
Ir 4.9459 1.6486 4.9459
Ir 4.9459 4.9459 1.6486
Rh 1.6486 1.6486 4.9459
Rh 1.6486 4.9459 1.6486
Rh 4.9459 1.6486 1.6486
Rh 4.9459 4.9459 4.9459
CELL_PARAMETERS angstrom
6.5945 0.0000 0.0000
0.0000 6.5945 0.0000
0.0000 0.0000 6.5945
```

(2)
A relaxed Ce3Sm crystal. Source: Alexandria, functional PBE. Values from VASP.

SG   Fm-3m (225)
Formation enthalpy at 0 K   25.9 kJ/mol of atoms
Volume   498 Å³ per cell

Structure (Quantum ESPRESSO input):
```
&SYSTEM
  ibrav = 0, nat = 16, ntyp = 2
/
ATOMIC_SPECIES
Ce 140.12 Ce.upf
Sm 150.36 Sm.upf
ATOMIC_POSITIONS angstrom
Ce 0.0000 0.0000 0.0000
Ce 0.0000 3.9620 3.9620
Ce 1.9810 1.9810 1.9810
Ce 1.9810 1.9810 5.9431
Ce 1.9810 5.9431 1.9810
Ce 1.9810 5.9431 5.9431
Ce 3.9620 0.0000 3.9620
Ce 3.9620 3.9620 0.0000
Ce 5.9431 1.9810 1.9810
Ce 5.9431 1.9810 5.9431
Ce 5.9431 5.9431 1.9810
Ce 5.9431 5.9431 5.9431
Sm 0.0000 0.0000 3.9620
Sm 0.0000 3.9620 0.0000
Sm 3.9620 0.0000 0.0000
Sm 3.9620 3.9620 3.9620
CELL_PARAMETERS angstrom
7.9241 0.0000 0.0000
0.0000 7.9241 0.0000
0.0000 0.0000 7.9241
```

(3)
A relaxed CoNi2Se crystal. Source: Alexandria, functional PBE. Values from VASP.

SG   P2/m (10)
E_form (uncorrected)   173.0 meV per atom
Volume   50 Å³ per cell

Structure (Quantum ESPRESSO input):
```
&SYSTEM
  ibrav = 0, nat = 4, ntyp = 3
/
ATOMIC_SPECIES
Co 58.93 Co.upf
Ni 58.69 Ni.upf
Se 78.96 Se.upf
ATOMIC_POSITIONS angstrom
Co 0.0000 0.0000 0.0000
Ni 1.5542 1.5827 3.8360
Ni 1.5674 1.5827 1.2073
Se -0.0070 0.0000 2.5217
CELL_PARAMETERS angstrom
3.1356 0.0000 0.0000
0.0000 3.1655 0.0000
-0.0139 0.0000 5.0434
```

(4)
A relaxed PrEuNi4 crystal. Source: Alexandria, functional PBE. Values from VASP.

SG   F-43m (216)
Formation enthalpy at 0 K   -23.3 kJ/mol of atoms
Volume   98 Å³ per cell

Structure (Quantum ESPRESSO input):
```
&SYSTEM
  ibrav = 0, nat = 6, ntyp = 3
/
ATOMIC_SPECIES
Pr 140.91 Pr.upf
Eu 151.96 Eu.upf
Ni 58.69 Ni.upf
ATOMIC_POSITIONS angstrom
Pr 0.0000 0.0000 0.0000
Eu 1.8297 1.8297 1.8297
Ni 4.5715 2.7474 2.7474
Ni 2.7474 4.5715 2.7474
Ni 2.7474 2.7474 4.5715
Ni 4.5715 4.5715 4.5715
CELL_PARAMETERS angstrom
0.0000 3.6594 3.6594
3.6594 0.0000 3.6594
3.6594 3.6594 0.0000
```

(5)
A relaxed Fe2SbPt crystal. Source: Alexandria, functional PBE. Values from VASP.

SG   P4/mmm (123)
E_form (uncorrected)   8.3 meV per atom
Volume   62 Å³ per cell

Structure (Quantum ESPRESSO input):
```
&SYSTEM
  ibrav = 0, nat = 4, ntyp = 3
/
ATOMIC_SPECIES
Fe 55.84 Fe.upf
Sb 121.76 Sb.upf
Pt 195.08 Pt.upf
ATOMIC_POSITIONS angstrom
Fe 0.0000 1.9417 0.0000
Fe 1.9417 0.0000 0.0000
Sb 0.0000 0.0000 2.0466
Pt 1.9417 1.9417 2.0466
CELL_PARAMETERS angstrom
3.8834 0.0000 0.0000
0.0000 3.8834 0.0000
0.0000 0.0000 4.0933
```

(6)
A relaxed Ta2AgP crystal. Source: Alexandria, functional PBE. Values from VASP.

SG   F-43m (216)
Formation enthalpy at 0 K   59.7 kJ/mol of atoms
Volume   274 Å³ per cell

Structure (Quantum ESPRESSO input):
```
&SYSTEM
  ibrav = 0, nat = 16, ntyp = 3
/
ATOMIC_SPECIES
Ta 180.95 Ta.upf
Ag 107.87 Ag.upf
P 30.97 P.upf
ATOMIC_POSITIONS angstrom
Ta 0.0000 0.0000 0.0000
Ta 0.0000 3.2466 3.2466
Ta 1.6233 1.6233 1.6233
Ta 1.6233 4.8699 4.8699
Ta 3.2466 0.0000 3.2466
Ta 3.2466 3.2466 0.0000
Ta 4.8699 1.6233 4.8699
Ta 4.8699 4.8699 1.6233
Ag 1.6233 1.6233 4.8699
Ag 1.6233 4.8699 1.6233
Ag 4.8699 1.6233 1.6233
Ag 4.8699 4.8699 4.8699
P 0.0000 0.0000 3.2466
P 0.0000 3.2466 0.0000
P 3.2466 0.0000 0.0000
P 3.2466 3.2466 3.2466
CELL_PARAMETERS angstrom
6.4933 0.0000 0.0000
0.0000 6.4933 0.0000
0.0000 0.0000 6.4933
```

(7)
A relaxed AlZnPb2 crystal. Source: Alexandria, functional PBE. Values from VASP.

SG   R-3m (166)
Formation enthalpy at 0 K   23.2 kJ/mol of atoms
Volume   306 Å³ per cell

Structure (Quantum ESPRESSO input):
```
&SYSTEM
  ibrav = 0, nat = 12, ntyp = 3
/
ATOMIC_SPECIES
Al 26.98 Al.upf
Zn 65.41 Zn.upf
Pb 207.20 Pb.upf
ATOMIC_POSITIONS angstrom
Al 0.0000 0.0000 0.0000
Al 0.0000 2.0969 17.8567
Al 1.8159 1.0484 8.9283
Zn 0.0000 0.0000 13.3925
Zn 0.0000 2.0969 4.4642
Zn 1.8159 1.0484 22.3209
Pb 0.0000 0.0000 6.6680
Pb 0.0000 0.0000 20.1171
Pb 0.0000 2.0969 11.1887
Pb 0.0000 2.0969 24.5247
Pb 1.8159 1.0484 2.2604
Pb 1.8159 1.0484 15.5963
CELL_PARAMETERS angstrom
3.6319 0.0000 0.0000
-1.8159 3.1453 0.0000
0.0000 0.0000 26.7850
```

(8)
A relaxed ScReMo3 crystal. Source: Alexandria, functional PBE. Values from VASP.

SG   Pm-3m (221)
Formation enthalpy at 0 K   119.1 kJ/mol of atoms
Volume   108 Å³ per cell

Structure (Quantum ESPRESSO input):
```
&SYSTEM
  ibrav = 0, nat = 5, ntyp = 3
/
ATOMIC_SPECIES
Sc 44.96 Sc.upf
Re 186.21 Re.upf
Mo 95.94 Mo.upf
ATOMIC_POSITIONS angstrom
Sc 0.0000 0.0000 0.0000
Re 2.3830 2.3830 2.3830
Mo 0.0000 2.3830 2.3830
Mo 2.3830 0.0000 2.3830
Mo 2.3830 2.3830 0.0000
CELL_PARAMETERS angstrom
4.7660 0.0000 0.0000
0.0000 4.7660 0.0000
0.0000 0.0000 4.7660
```

(9)
A relaxed TbSmYPu crystal. Source: Alexandria, functional PBE. Values from VASP.

SG   F-43m (216)
Formation enthalpy at 0 K   19.9 kJ/mol of atoms
Volume   506 Å³ per cell

Structure (Quantum ESPRESSO input):
```
&SYSTEM
  ibrav = 0, nat = 16, ntyp = 4
/
ATOMIC_SPECIES
Tb 158.93 Tb.upf
Sm 150.36 Sm.upf
Y 88.91 Y.upf
Pu 244.00 Pu.upf
ATOMIC_POSITIONS angstrom
Tb 0.0000 0.0000 0.0000
Tb 0.0000 3.9831 3.9831
Tb 3.9831 0.0000 3.9831
Tb 3.9831 3.9831 0.0000
Sm 0.0000 0.0000 3.9831
Sm 0.0000 3.9831 0.0000
Sm 3.9831 0.0000 0.0000
Sm 3.9831 3.9831 3.9831
Y 1.9916 1.9916 5.9747
Y 1.9916 5.9747 1.9916
Y 5.9747 1.9916 1.9916
Y 5.9747 5.9747 5.9747
Pu 1.9916 1.9916 1.9916
Pu 1.9916 5.9747 5.9747
Pu 5.9747 1.9916 5.9747
Pu 5.9747 5.9747 1.9916
CELL_PARAMETERS angstrom
7.9663 0.0000 0.0000
0.0000 7.9663 0.0000
0.0000 0.0000 7.9663
```

(10)
A relaxed YBe2Pb crystal. Source: Alexandria, functional PBE. Values from VASP.

SG   Cmm2 (35)
Formation enthalpy at 0 K   27.6 kJ/mol of atoms
Volume   156 Å³ per cell

Structure (Quantum ESPRESSO input):
```
&SYSTEM
  ibrav = 0, nat = 8, ntyp = 3
/
ATOMIC_SPECIES
Y 88.91 Y.upf
Be 9.01 Be.upf
Pb 207.20 Pb.upf
ATOMIC_POSITIONS angstrom
Y 0.0000 0.0000 0.0000
Y 2.0835 2.5903 0.0000
Be 0.0000 0.0000 4.4151
Be 0.0000 2.5903 5.2549
Be 2.0835 0.0000 5.2549
Be 2.0835 2.5903 4.4151
Pb 0.0000 2.5903 2.5496
Pb 2.0835 0.0000 2.5496
CELL_PARAMETERS angstrom
4.1669 0.0000 0.0000
0.0000 5.1806 0.0000
0.0000 0.0000 7.2124
```

(11)
A relaxed Na4Pu3TcN8 crystal. Source: Alexandria, functional PBE. Values from VASP.

SG   R-3m (166)
E_form (uncorrected)   -592.5 meV per atom
Volume   220 Å³ per cell

Structure (Quantum ESPRESSO input):
```
&SYSTEM
  ibrav = 0, nat = 16, ntyp = 4
/
ATOMIC_SPECIES
Na 22.99 Na.upf
Pu 244.00 Pu.upf
Tc 98.00 Tc.upf
N 14.01 N.upf
ATOMIC_POSITIONS angstrom
Na 0.0000 0.0000 0.0000
Na -1.6756 -0.9674 5.6531
Na -1.6756 0.9674 11.3062
Na 0.0000 1.9348 5.6531
Pu -3.3512 0.0000 8.4797
Pu -1.6756 0.9674 2.8266
Pu 1.6756 0.9674 2.8266
Tc 0.0000 0.0000 8.4797
N 0.0000 0.0000 3.8969
N -1.6221 -0.9365 9.5353
N 0.0000 -1.8730 7.4241
N -1.6221 0.9365 7.4241
N 1.6221 -0.9365 9.5353
N 0.0000 1.8730 9.5353
N 1.6221 0.9365 7.4241
N 0.0000 0.0000 13.0625
CELL_PARAMETERS angstrom
3.3512 1.9348 5.6531
-3.3512 1.9348 5.6531
0.0000 -3.8697 5.6531
```

(12)
A relaxed V4MoOs3 crystal. Source: Alexandria, functional PBE. Values from VASP.

SG   Pmmm (47)
Formation enthalpy at 0 K   -26.7 kJ/mol of atoms
Volume   112 Å³ per cell

Structure (Quantum ESPRESSO input):
```
&SYSTEM
  ibrav = 0, nat = 8, ntyp = 3
/
ATOMIC_SPECIES
V 50.94 V.upf
Mo 95.94 Mo.upf
Os 190.23 Os.upf
ATOMIC_POSITIONS angstrom
V 0.0000 0.0000 0.0000
V 0.0000 0.0000 4.2942
V 0.0000 2.1479 2.1170
V 0.0000 2.1479 6.4714
Mo 1.5117 2.1479 0.0000
Os 1.5117 0.0000 2.1758
Os 1.5117 0.0000 6.4127
Os 1.5117 2.1479 4.2942
CELL_PARAMETERS angstrom
3.0234 0.0000 0.0000
0.0000 4.2958 0.0000
0.0000 0.0000 8.5885
```

One value per record, in order, for Fermi-level density of states: 4.440, 16.472, 5.810, 13.860, 3.191, 2.851, 1.762, 4.826, 11.347, 3.107, 15.655, 6.483 states/eV/f.u..